(1)
# SiTc2Cl | Alexandria via LeMat-Bulk | PBE | relaxed
# E above lowest polymorph = 153 meV/atom
# Formation energy without anion corrections = 0.573 eV/f.u.
data_SiTc2Cl
_chemical_formula_sum 'Si2 Tc4 Cl2'
_cell_length_a 7.778
_cell_length_b 2.916
_cell_length_c 7.498
_cell_angle_alpha 90.00
_cell_angle_beta 121.02
_cell_angle_gamma 90.00
_space_group_name_H-M_alt 'C 1 2/m 1'
_space_group_IT_number 12
_space_group_name_Hall '-C 2y'
loop_
_atom_site_label
_atom_site_fract_x
_atom_site_fract_y
_atom_site_fract_z
_atom_site_occupancy
Si1 0.000 0.000 0.000 1
Tc1 0.130 0.500 0.833 1
Cl1 0.000 0.000 0.500 1

(2)
# SiTc2Cl | Alexandria via LeMat-Bulk | PBE | relaxed
# E above lowest polymorph = 513 meV/atom
# Formation energy without anion corrections = 2.013 eV/f.u.
data_SiTc2Cl
_chemical_formula_sum 'Si1 Tc2 Cl1'
_cell_length_a 2.846
_cell_length_b 4.072
_cell_length_c 5.253
_cell_angle_alpha 90.00
_cell_angle_beta 90.00
_cell_angle_gamma 90.00
_space_group_name_H-M_alt 'P m m m'
_space_group_IT_number 47
_space_group_name_Hall '-P 2 2'
loop_
_atom_site_label
_atom_site_fract_x
_atom_site_fract_y
_atom_site_fract_z
_atom_site_occupancy
Si1 0.000 0.000 0.000 1
Tc1 0.000 0.500 0.500 1
Tc2 0.500 0.500 0.000 1
Cl1 0.500 0.000 0.500 1

(3)
# Si2TcCl | Alexandria via LeMat-Bulk | PBE | relaxed
# E above lowest polymorph = 139 meV/atom
# Formation energy without anion corrections = 0.504 eV/f.u.
data_Si2TcCl
_chemical_formula_sum 'Si2 Tc1 Cl1'
_cell_length_a 4.109
_cell_length_b 3.384
_cell_length_c 5.794
_cell_angle_alpha 90.00
_cell_angle_beta 91.32
_cell_angle_gamma 90.00
_space_group_name_H-M_alt 'P 1 m 1'
_space_group_IT_number 6
_space_group_name_Hall 'P -2y'
loop_
_atom_site_label
_atom_site_fract_x
_atom_site_fract_y
_atom_site_fract_z
_atom_site_occupancy
Si1 0.000 0.000 0.000 1
Si2 0.398 0.500 0.070 1
Tc1 0.515 0.000 0.796 1
Cl1 0.587 0.500 0.446 1

(4)
# SiTc2Cl | Alexandria via LeMat-Bulk | PBE | relaxed
# E above lowest polymorph = 261 meV/atom
# Formation energy without anion corrections = 1.006 eV/f.u.
data_SiTc2Cl
_chemical_formula_sum 'Si2 Tc4 Cl2'
_cell_length_a 10.105
_cell_length_b 2.967
_cell_length_c 4.014
_cell_angle_alpha 90.00
_cell_angle_beta 103.68
_cell_angle_gamma 90.00
_space_group_name_H-M_alt 'C 1 m 1'
_space_group_IT_number 8
_space_group_name_Hall 'C -2y'
loop_
_atom_site_label
_atom_site_fract_x
_atom_site_fract_y
_atom_site_fract_z
_atom_site_occupancy
Si1 0.000 0.000 0.000 1
Tc1 0.046 0.500 0.541 1
Tc2 0.291 0.000 0.860 1
Cl1 0.253 0.500 0.365 1

(5)
# Si3TcCl | Alexandria via LeMat-Bulk | PBE | relaxed
# E above lowest polymorph = 1509 meV/atom
# Formation energy without anion corrections = 7.485 eV/f.u.
data_Si3TcCl
_chemical_formula_sum 'Si3 Tc1 Cl1'
_cell_length_a 4.460
_cell_length_b 4.460
_cell_length_c 4.460
_cell_angle_alpha 90.00
_cell_angle_beta 90.00
_cell_angle_gamma 90.00
_space_group_name_H-M_alt 'P m -3 m'
_space_group_IT_number 221
_space_group_name_Hall '-P 4 2 3'
loop_
_atom_site_label
_atom_site_fract_x
_atom_site_fract_y
_atom_site_fract_z
_atom_site_occupancy
Si1 0.000 0.000 0.500 1
Tc1 0.500 0.500 0.500 1
Cl1 0.000 0.000 0.000 1

(6)
# SiTcCl | Alexandria via LeMat-Bulk | PBE | relaxed
# E above lowest polymorph = 4 meV/atom
# Formation energy without anion corrections = -1.356 eV/f.u.
data_SiTcCl
_chemical_formula_sum 'Si4 Tc4 Cl4'
_cell_length_a 3.134
_cell_length_b 3.036
_cell_length_c 22.773
_cell_angle_alpha 90.00
_cell_angle_beta 90.00
_cell_angle_gamma 90.00
_space_group_name_H-M_alt 'A m m 2'
_space_group_IT_number 38
_space_group_name_Hall 'A 2 -2'
loop_
_atom_site_label
_atom_site_fract_x
_atom_site_fract_y
_atom_site_fract_z
_atom_site_occupancy
Si1 0.000 0.000 0.000 1
Si2 0.000 0.000 0.120 1
Tc1 0.500 0.000 0.556 1
Tc2 0.500 0.000 0.678 1
Cl1 0.000 0.000 0.910 1
Cl2 0.500 0.000 0.258 1

(7)
# Si2TcCl | Alexandria via LeMat-Bulk | PBE | relaxed
# E above lowest polymorph = 82 meV/atom
# Formation energy without anion corrections = 0.276 eV/f.u.
data_Si2TcCl
_chemical_formula_sum 'Si2 Tc1 Cl1'
_cell_length_a 3.041
_cell_length_b 3.041
_cell_length_c 6.992
_cell_angle_alpha 90.00
_cell_angle_beta 90.00
_cell_angle_gamma 90.00
_space_group_name_H-M_alt 'P 4/m m m'
_space_group_IT_number 123
_space_group_name_Hall '-P 4 2'
loop_
_atom_site_label
_atom_site_fract_x
_atom_site_fract_y
_atom_site_fract_z
_atom_site_occupancy
Si1 0.000 0.000 0.196 1
Tc1 0.500 0.500 0.000 1
Cl1 0.500 0.500 0.500 1

(8)
# Si3TcCl | Alexandria via LeMat-Bulk | PBE | relaxed
# E above lowest polymorph = 0 meV/atom
# Formation energy without anion corrections = -0.059 eV/f.u.
data_Si3TcCl
_chemical_formula_sum 'Si3 Tc1 Cl1'
_cell_length_a 4.676
_cell_length_b 4.676
_cell_length_c 4.676
_cell_angle_alpha 90.00
_cell_angle_beta 90.00
_cell_angle_gamma 90.00
_space_group_name_H-M_alt 'P m -3 m'
_space_group_IT_number 221
_space_group_name_Hall '-P 4 2 3'
loop_
_atom_site_label
_atom_site_fract_x
_atom_site_fract_y
_atom_site_fract_z
_atom_site_occupancy
Si1 0.000 0.000 0.500 1
Tc1 0.000 0.000 0.000 1
Cl1 0.500 0.500 0.500 1

(9)
# SiTcCl2 | Alexandria via LeMat-Bulk | PBE | relaxed
# E above lowest polymorph = 1191 meV/atom
# Formation energy without anion corrections = 3.613 eV/f.u.
data_SiTcCl2
_chemical_formula_sum 'Si4 Tc4 Cl8'
_cell_length_a 6.025
_cell_length_b 6.025
_cell_length_c 10.240
_cell_angle_alpha 90.00
_cell_angle_beta 90.00
_cell_angle_gamma 90.00
_space_group_name_H-M_alt 'I -4 2 d'
_space_group_IT_number 122
_space_group_name_Hall 'I -4 2bw'
loop_
_atom_site_label
_atom_site_fract_x
_atom_site_fract_y
_atom_site_fract_z
_atom_site_occupancy
Si1 0.000 0.000 0.000 1
Tc1 0.000 0.000 0.500 1
Cl1 0.198 0.250 0.625 1

(10)
# SiTc2Cl | Alexandria via LeMat-Bulk | PBE | relaxed
# E above lowest polymorph = 698 meV/atom
# Formation energy without anion corrections = 2.755 eV/f.u.
data_SiTc2Cl
_chemical_formula_sum 'Si2 Tc4 Cl2'
_cell_length_a 3.899
_cell_length_b 3.899
_cell_length_c 7.734
_cell_angle_alpha 90.00
_cell_angle_beta 90.00
_cell_angle_gamma 90.00
_space_group_name_H-M_alt 'I -4 m 2'
_space_group_IT_number 119
_space_group_name_Hall 'I -4 -2'
loop_
_atom_site_label
_atom_site_fract_x
_atom_site_fract_y
_atom_site_fract_z
_atom_site_occupancy
Si1 0.000 0.000 0.000 1
Tc1 0.000 0.000 0.500 1
Tc2 0.000 0.500 0.750 1
Cl1 0.000 0.500 0.250 1

(11)
# SiTc2Cl | Alexandria via LeMat-Bulk | PBE | relaxed
# E above lowest polymorph = 817 meV/atom
# Formation energy without anion corrections = 3.231 eV/f.u.
data_SiTc2Cl
_chemical_formula_sum 'Si4 Tc8 Cl4'
_cell_length_a 6.235
_cell_length_b 6.235
_cell_length_c 6.235
_cell_angle_alpha 90.00
_cell_angle_beta 90.00
_cell_angle_gamma 90.00
_space_group_name_H-M_alt 'F -4 3 m'
_space_group_IT_number 216
_space_group_name_Hall 'F -4 2 3'
loop_
_atom_site_label
_atom_site_fract_x
_atom_site_fract_y
_atom_site_fract_z
_atom_site_occupancy
Si1 0.000 0.000 0.000 1
Tc1 0.000 0.000 0.500 1
Tc2 0.250 0.250 0.250 1
Cl1 0.250 0.250 0.750 1

(12)
# SiTcCl2 | Alexandria via LeMat-Bulk | PBE | relaxed
# E above lowest polymorph = 1082 meV/atom
# Formation energy without anion corrections = 3.176 eV/f.u.
data_SiTcCl2
_chemical_formula_sum 'Si1 Tc1 Cl2'
_cell_length_a 4.288
_cell_length_b 4.288
_cell_length_c 4.161
_cell_angle_alpha 90.00
_cell_angle_beta 90.00
_cell_angle_gamma 90.00
_space_group_name_H-M_alt 'P 4/m m m'
_space_group_IT_number 123
_space_group_name_Hall '-P 4 2'
loop_
_atom_site_label
_atom_site_fract_x
_atom_site_fract_y
_atom_site_fract_z
_atom_site_occupancy
Si1 0.000 0.000 0.000 1
Tc1 0.500 0.500 0.000 1
Cl1 0.000 0.500 0.500 1

(13)
# SiTcCl2 | Alexandria via LeMat-Bulk | PBE | relaxed
# E above lowest polymorph = 700 meV/atom
# Formation energy without anion corrections = 1.649 eV/f.u.
data_SiTcCl2
_chemical_formula_sum 'Si2 Tc2 Cl4'
_cell_length_a 2.926
_cell_length_b 5.515
_cell_length_c 9.001
_cell_angle_alpha 90.00
_cell_angle_beta 90.00
_cell_angle_gamma 90.00
_space_group_name_H-M_alt 'C m m m'
_space_group_IT_number 65
_space_group_name_Hall '-C 2 2'
loop_
_atom_site_label
_atom_site_fract_x
_atom_site_fract_y
_atom_site_fract_z
_atom_site_occupancy
Si1 0.000 0.000 0.000 1
Tc1 0.000 0.000 0.500 1
Cl1 0.000 0.500 0.287 1

(14)
# Si2TcCl | Alexandria via LeMat-Bulk | PBE | relaxed
# E above lowest polymorph = 737 meV/atom
# Formation energy without anion corrections = 2.895 eV/f.u.
data_Si2TcCl
_chemical_formula_sum 'Si2 Tc1 Cl1'
_cell_length_a 3.541
_cell_length_b 3.541
_cell_length_c 4.919
_cell_angle_alpha 90.00
_cell_angle_beta 90.00
_cell_angle_gamma 90.00
_space_group_name_H-M_alt 'P 4/m m m'
_space_group_IT_number 123
_space_group_name_Hall '-P 4 2'
loop_
_atom_site_label
_atom_site_fract_x
_atom_site_fract_y
_atom_site_fract_z
_atom_site_occupancy
Si1 0.000 0.500 0.000 1
Tc1 0.000 0.000 0.500 1
Cl1 0.500 0.500 0.500 1